[1]
# Rb2Hg6Pt | Alexandria | PBE-GGA | relaxed
# Crystal system: monoclinic
# Energy relative to the lowest polymorph listed for this composition in meV per atom: 34
# ΔH_f (0 K) in eV per formula unit: -1.71
# SG: No. 12
data_Rb2Hg6Pt
_space_group_name_H-M_alt 'P 1'
_space_group_IT_number 1
_space_group_name_Hall 'P 1'
_cell_length_a 6.429
_cell_length_b 7.011
_cell_length_c 7.011
_cell_angle_alpha 59.97
_cell_angle_beta 90.05
_cell_angle_gamma 90.05
loop_
_atom_site_label
_atom_site_fract_x
_atom_site_fract_y
_atom_site_fract_z
Rb1 0.818 0.667 0.667
Rb2 0.182 0.333 0.333
Hg1 0.302 0.341 0.829
Hg2 0.303 0.830 0.830
Hg3 0.302 0.829 0.341
Hg4 0.698 0.659 0.171
Hg5 0.697 0.170 0.170
Hg6 0.698 0.171 0.659
Pt1 0.000 0.000 0.000

[2]
# HfTi2HN | Alexandria | PBE-GGA | relaxed
# Uncorrected energy in eV per atom: -6.004
# Crystal system: tetragonal
# SG: No. 123
data_HfTi2HN
_space_group_name_H-M_alt 'P 1'
_space_group_IT_number 1
_space_group_name_Hall 'P 1'
_cell_length_a 5.076
_cell_length_b 4.058
_cell_length_c 5.076
_cell_angle_alpha 90.00
_cell_angle_beta 90.00
_cell_angle_gamma 90.00
loop_
_atom_site_label
_atom_site_fract_x
_atom_site_fract_y
_atom_site_fract_z
H1 0.500 0.500 0.500
N1 0.000 0.500 0.000
Hf1 0.000 0.000 0.000
Ti1 0.000 0.000 0.500
Ti2 0.500 0.000 0.000

[3]
# Na3MnRu | Alexandria | PBE-GGA | relaxed
# Crystal system: cubic
# Energy relative to the lowest polymorph listed for this composition in meV per atom: 0
# ΔH_f (0 K) in eV per formula unit: 6.91
# SG: No. 221
data_Na3MnRu
_space_group_name_H-M_alt 'P 1'
_space_group_IT_number 1
_space_group_name_Hall 'P 1'
_cell_length_a 5.386
_cell_length_b 5.386
_cell_length_c 5.386
_cell_angle_alpha 90.00
_cell_angle_beta 90.00
_cell_angle_gamma 90.00
loop_
_atom_site_label
_atom_site_fract_x
_atom_site_fract_y
_atom_site_fract_z
Ru1 0.000 0.000 0.000
Mn1 0.500 0.500 0.500
Na1 0.000 0.500 0.000
Na2 0.000 0.000 0.500
Na3 0.500 0.000 0.000

[4]
# Cs2HSeI | Alexandria | PBE-GGA | relaxed
# Uncorrected energy in eV per atom: -3.075
# Crystal system: monoclinic
# SG: No. 11
data_Cs2HSeI
_space_group_name_H-M_alt 'P 1'
_space_group_IT_number 1
_space_group_name_Hall 'P 1'
_cell_length_a 5.651
_cell_length_b 7.738
_cell_length_c 10.541
_cell_angle_alpha 96.50
_cell_angle_beta 90.00
_cell_angle_gamma 90.00
loop_
_atom_site_label
_atom_site_fract_x
_atom_site_fract_y
_atom_site_fract_z
Cs1 0.750 0.774 0.634
Cs2 0.750 0.734 0.110
Cs3 0.250 0.226 0.366
Cs4 0.250 0.266 0.890
H1 0.250 0.645 0.759
H2 0.750 0.355 0.241
Se1 0.250 0.768 0.878
Se2 0.750 0.232 0.122
I1 0.250 0.728 0.371
I2 0.750 0.272 0.629

[5]
# Sc2ICl2 | Alexandria | PBE-GGA | relaxed
# Crystal system: tetragonal
# Energy relative to the lowest polymorph listed for this composition in meV per atom: 304
# SG: No. 127
data_Sc2ICl2
_space_group_name_H-M_alt 'P 1'
_space_group_IT_number 1
_space_group_name_Hall 'P 1'
_cell_length_a 8.121
_cell_length_b 8.121
_cell_length_c 3.329
_cell_angle_alpha 90.00
_cell_angle_beta 90.00
_cell_angle_gamma 90.00
loop_
_atom_site_label
_atom_site_fract_x
_atom_site_fract_y
_atom_site_fract_z
I1 0.000 0.000 0.000
I2 0.500 0.500 0.000
Sc1 0.159 0.659 0.500
Sc2 0.659 0.841 0.500
Sc3 0.841 0.341 0.500
Sc4 0.341 0.159 0.500
Cl1 0.374 0.874 0.000
Cl2 0.874 0.626 0.000
Cl3 0.626 0.126 0.000
Cl4 0.126 0.374 0.000

[6]
# Tb2InS | Alexandria | PBE-GGA | relaxed
# Crystal system: trigonal
# Energy relative to the lowest polymorph listed for this composition in meV per atom: 0
# SG: No. 166
data_Tb2InS
_space_group_name_H-M_alt 'P 1'
_space_group_IT_number 1
_space_group_name_Hall 'P 1'
_cell_length_a 3.833
_cell_length_b 3.833
_cell_length_c 8.294
_cell_angle_alpha 76.64
_cell_angle_beta 76.64
_cell_angle_gamma 60.00
loop_
_atom_site_label
_atom_site_fract_x
_atom_site_fract_y
_atom_site_fract_z
S1 0.000 0.000 0.000
Tb1 0.735 0.735 0.796
Tb2 0.265 0.265 0.204
In1 0.500 0.500 0.500

[7]
# As2IrSe | Alexandria | PBE-GGA | relaxed
# Uncorrected energy in eV per atom: -5.271
# Crystal system: tetragonal
# SG: No. 139
data_As2IrSe
_space_group_name_H-M_alt 'P 1'
_space_group_IT_number 1
_space_group_name_Hall 'P 1'
_cell_length_a 4.554
_cell_length_b 4.554
_cell_length_c 4.552
_cell_angle_alpha 70.42
_cell_angle_beta 70.42
_cell_angle_gamma 109.24
loop_
_atom_site_label
_atom_site_fract_x
_atom_site_fract_y
_atom_site_fract_z
As1 0.000 0.000 0.000
As2 0.500 0.500 0.000
Ir1 0.500 0.000 0.500
Se1 0.000 0.500 0.500

[8]
# Pm2BeGa4Ni3 | Alexandria | PBE-GGA | relaxed
# Crystal system: tetragonal
# ΔH_f (0 K) in eV per formula unit: -5.06
# SG: No. 115
data_Pm2BeGa4Ni3
_space_group_name_H-M_alt 'P 1'
_space_group_IT_number 1
_space_group_name_Hall 'P 1'
_cell_length_a 4.111
_cell_length_b 4.111
_cell_length_c 9.996
_cell_angle_alpha 90.00
_cell_angle_beta 90.00
_cell_angle_gamma 90.00
loop_
_atom_site_label
_atom_site_fract_x
_atom_site_fract_y
_atom_site_fract_z
Pm1 0.500 0.000 0.253
Pm2 0.000 0.500 0.747
Be1 0.500 0.500 0.500
Ga1 0.500 0.500 0.000
Ga2 0.000 0.000 0.000
Ga3 0.500 0.000 0.625
Ga4 0.000 0.500 0.375
Ni1 0.000 0.000 0.500
Ni2 0.500 0.000 0.867
Ni3 0.000 0.500 0.133